# Tb3NdTm2 | Alexandria | PBE | optimized geometry
# Formation energy = -4 meV per atom
# VASP energy = -55.25 eV per cell
# Spin magnetization = 0.0 μB/cell
# Excess energy over the best structure of this formula in the dataset = 0.0 meV per atom
# SG = No. 2
data_Tb3NdTm2
_symmetry_space_group_name_H-M 'P 1'
_symmetry_Int_Tables_number 1
_cell_length_a 7.1654
_cell_length_b 10.1731
_cell_length_c 7.1606
_cell_angle_alpha 79.92
_cell_angle_beta 119.91
_cell_angle_gamma 121.83
loop_
_symmetry_equiv_pos_as_xyz
'x,y,z'
loop_
_atom_site_label
_atom_site_type_symbol
_atom_site_fract_x
_atom_site_fract_y
_atom_site_fract_z
_atom_site_occupancy
Nd1 Nd 0.2532 0.0021 0.2508 1
Nd2 Nd 0.7468 0.9979 0.7492 1
Tm1 Tm 0.6981 0.3363 0.6405 1
Tm2 Tm 0.6981 0.3356 0.1398 1
Tm3 Tm 0.3019 0.6637 0.3595 1
Tm4 Tm 0.3019 0.6644 0.8602 1
Tb1 Tb 0.1966 0.3365 0.1391 1
Tb2 Tb 0.8041 0.6644 0.3610 1
Tb3 Tb 0.7481 0.9987 0.2490 1
Tb4 Tb 0.1959 0.3356 0.6390 1
Tb5 Tb 0.8034 0.6636 0.8609 1
Tb6 Tb 0.2519 0.0013 0.7510 1

***

# Tb6NdTm8 | Alexandria | PBE | optimized geometry
# Formation energy = 231 meV per atom
# VASP energy = -64.85 eV per cell
# Spin magnetization = 0.0 μB/cell
# Excess energy over the best structure of this formula in the dataset = 96.8 meV per atom
# SG = No. 147
data_Tb6NdTm8
_symmetry_space_group_name_H-M 'P 1'
_symmetry_Int_Tables_number 1
_cell_length_a 6.4206
_cell_length_b 9.3896
_cell_length_c 9.3896
_cell_angle_alpha 120.00
_cell_angle_beta 90.00
_cell_angle_gamma 90.00
loop_
_symmetry_equiv_pos_as_xyz
'x,y,z'
loop_
_atom_site_label
_atom_site_type_symbol
_atom_site_fract_x
_atom_site_fract_y
_atom_site_fract_z
_atom_site_occupancy
Tm1 Tm 0.8447 0.3333 0.6667 1
Tm2 Tm 0.1553 0.6667 0.3333 1
Tm3 Tm 0.0920 0.6621 0.9761 1
Tm4 Tm 0.9080 0.3379 0.0239 1
Tm5 Tm 0.9080 0.6860 0.6621 1
Tm6 Tm 0.0920 0.0239 0.6860 1
Tm7 Tm 0.0920 0.3140 0.3379 1
Tm8 Tm 0.9080 0.9761 0.3140 1
Tb1 Tb 0.4123 0.5818 0.6817 1
Tb2 Tb 0.5877 0.6817 0.0999 1
Tb3 Tb 0.4123 0.3183 0.9001 1
Tb4 Tb 0.5877 0.9001 0.5818 1
Tb5 Tb 0.4123 0.0999 0.4182 1
Tb6 Tb 0.5877 0.4182 0.3183 1
Nd1 Nd 0.5000 0.0000 0.0000 1

***

# TbNd8Tm6 | Alexandria | PBE | optimized geometry
# Formation energy = 179 meV per atom
# VASP energy = -66.92 eV per cell
# Spin magnetization = 0.0 μB/cell
# Excess energy over the best structure of this formula in the dataset = 48.5 meV per atom
# SG = No. 147
data_TbNd8Tm6
_symmetry_space_group_name_H-M 'P 1'
_symmetry_Int_Tables_number 1
_cell_length_a 6.5299
_cell_length_b 9.4138
_cell_length_c 9.4138
_cell_angle_alpha 120.00
_cell_angle_beta 90.00
_cell_angle_gamma 90.00
loop_
_symmetry_equiv_pos_as_xyz
'x,y,z'
loop_
_atom_site_label
_atom_site_type_symbol
_atom_site_fract_x
_atom_site_fract_y
_atom_site_fract_z
_atom_site_occupancy
Nd1 Nd 0.8781 0.3333 0.6667 1
Nd2 Nd 0.1219 0.6667 0.3333 1
Nd3 Nd 0.1687 0.9607 0.7117 1
Nd4 Nd 0.8313 0.7117 0.7510 1
Nd5 Nd 0.1687 0.7510 0.0393 1
Nd6 Nd 0.8313 0.2490 0.9607 1
Nd7 Nd 0.1687 0.2883 0.2490 1
Nd8 Nd 0.8313 0.0393 0.2883 1
Tm1 Tm 0.6583 0.4398 0.3435 1
Tm2 Tm 0.3417 0.0964 0.4398 1
Tm3 Tm 0.3417 0.5602 0.6565 1
Tm4 Tm 0.3417 0.3435 0.9036 1
Tm5 Tm 0.6583 0.9036 0.5602 1
Tm6 Tm 0.6583 0.6565 0.0964 1
Tb1 Tb 0.5000 0.0000 0.0000 1

***

# TbNd4Tm8 | Alexandria | PBE | optimized geometry
# Formation energy = 526 meV per atom
# VASP energy = -52.64 eV per cell
# Spin magnetization = 1.9 μB/cell
# SG = No. 166
data_TbNd4Tm8
_symmetry_space_group_name_H-M 'P 1'
_symmetry_Int_Tables_number 1
_cell_length_a 10.9807
_cell_length_b 10.9807
_cell_length_c 7.7591
_cell_angle_alpha 90.00
_cell_angle_beta 135.04
_cell_angle_gamma 120.00
loop_
_symmetry_equiv_pos_as_xyz
'x,y,z'
loop_
_atom_site_label
_atom_site_type_symbol
_atom_site_fract_x
_atom_site_fract_y
_atom_site_fract_z
_atom_site_occupancy
Tm1 Tm 0.0007 0.2408 0.7605 1
Tm2 Tm 0.5195 0.7597 0.2792 1
Tm3 Tm 0.4805 0.2403 0.7208 1
Tm4 Tm 0.5197 0.7598 0.7605 1
Tm5 Tm 0.4803 0.2402 0.2395 1
Tm6 Tm 0.9993 0.2402 0.2395 1
Tm7 Tm 0.9993 0.7592 0.2395 1
Tm8 Tm 0.0007 0.7598 0.7605 1
Nd1 Nd 0.0000 0.0000 0.0000 1
Nd2 Nd 0.0000 0.5000 0.0000 1
Nd3 Nd 0.5000 0.5000 0.0000 1
Nd4 Nd 0.5000 0.0000 0.0000 1
Tb1 Tb 0.0000 0.5000 0.5000 1

***

# Tb3Nd12Tm | Alexandria | PBE | optimized geometry
# Formation energy = 14 meV per atom
# VASP energy = -75.36 eV per cell
# Spin magnetization = 0.0 μB/cell
# SG = No. 123
data_Tb3Nd12Tm
_symmetry_space_group_name_H-M 'P 1'
_symmetry_Int_Tables_number 1
_cell_length_a 5.1578
_cell_length_b 5.1578
_cell_length_c 20.5818
_cell_angle_alpha 90.00
_cell_angle_beta 90.00
_cell_angle_gamma 90.00
loop_
_symmetry_equiv_pos_as_xyz
'x,y,z'
loop_
_atom_site_label
_atom_site_type_symbol
_atom_site_fract_x
_atom_site_fract_y
_atom_site_fract_z
_atom_site_occupancy
Tb1 Tb 0.0000 0.0000 0.2491 1
Tb2 Tb 0.0000 0.0000 0.7509 1
Tb3 Tb 0.0000 0.0000 0.5000 1
Nd1 Nd 0.0000 0.5000 0.8761 1
Nd2 Nd 0.5000 0.0000 0.1239 1
Nd3 Nd 0.5000 0.5000 0.5000 1
Nd4 Nd 0.5000 0.0000 0.8761 1
Nd5 Nd 0.5000 0.5000 0.0000 1
Nd6 Nd 0.0000 0.5000 0.3746 1
Nd7 Nd 0.5000 0.5000 0.2491 1
Nd8 Nd 0.0000 0.5000 0.6254 1
Nd9 Nd 0.5000 0.0000 0.6254 1
Nd10 Nd 0.5000 0.5000 0.7509 1
Nd11 Nd 0.0000 0.5000 0.1239 1
Nd12 Nd 0.5000 0.0000 0.3746 1
Tm1 Tm 0.0000 0.0000 0.0000 1

***

# TbNd2Tm2 | Alexandria | PBE | optimized geometry
# Formation energy = 9 meV per atom
# VASP energy = -23.06 eV per cell
# Spin magnetization = 0.0 μB/cell
# Excess energy over the best structure of this formula in the dataset = 0.0 meV per atom
# SG = No. 12
data_TbNd2Tm2
_symmetry_space_group_name_H-M 'P 1'
_symmetry_Int_Tables_number 1
_cell_length_a 3.5950
_cell_length_b 3.5901
_cell_length_c 16.2983
_cell_angle_alpha 63.94
_cell_angle_beta 83.67
_cell_angle_gamma 59.96
loop_
_symmetry_equiv_pos_as_xyz
'x,y,z'
loop_
_atom_site_label
_atom_site_type_symbol
_atom_site_fract_x
_atom_site_fract_y
_atom_site_fract_z
_atom_site_occupancy
Nd1 Nd 0.7606 0.5857 0.8932 1
Nd2 Nd 0.2394 0.4143 0.1068 1
Tm1 Tm 0.2948 0.7160 0.6943 1
Tm2 Tm 0.7052 0.2840 0.3057 1
Tb1 Tb 0.5000 0.5000 0.5000 1

***

# Tb2Nd4Tm | Alexandria | PBE | optimized geometry
# Formation energy = 59 meV per atom
# VASP energy = -64.79 eV per cell
# Spin magnetization = 0.0 μB/cell
# Excess energy over the best structure of this formula in the dataset = 0.0 meV per atom
# SG = No. 43
data_Tb2Nd4Tm
_symmetry_space_group_name_H-M 'P 1'
_symmetry_Int_Tables_number 1
_cell_length_a 12.5789
_cell_length_b 12.5789
_cell_length_c 6.8287
_cell_angle_alpha 97.03
_cell_angle_beta 97.03
_cell_angle_gamma 150.12
loop_
_symmetry_equiv_pos_as_xyz
'x,y,z'
loop_
_atom_site_label
_atom_site_type_symbol
_atom_site_fract_x
_atom_site_fract_y
_atom_site_fract_z
_atom_site_occupancy
Nd1 Nd 0.5992 0.5616 0.6383 1
Nd2 Nd 0.0407 0.1508 0.6049 1
Nd3 Nd 0.7956 0.1853 0.3955 1
Nd4 Nd 0.1738 0.7113 0.3627 1
Nd5 Nd 0.1508 0.0407 0.1049 1
Nd6 Nd 0.1853 0.7956 0.8955 1
Nd7 Nd 0.5616 0.5992 0.1383 1
Nd8 Nd 0.7113 0.1738 0.8627 1
Tb1 Tb 0.3038 0.6236 0.9519 1
Tb2 Tb 0.9214 0.1018 0.0480 1
Tb3 Tb 0.6236 0.3038 0.4519 1
Tb4 Tb 0.1018 0.9214 0.5480 1
Tm1 Tm 0.6712 0.4212 0.0000 1
Tm2 Tm 0.4212 0.6712 0.5000 1

***

# Tb12NdTm5 | Alexandria | PBE | optimized geometry
# Formation energy = 20 meV per atom
# VASP energy = -82.33 eV per cell
# Spin magnetization = 0.0 μB/cell
# SG = No. 65
data_Tb12NdTm5
_symmetry_space_group_name_H-M 'P 1'
_symmetry_Int_Tables_number 1
_cell_length_a 15.0303
_cell_length_b 10.6367
_cell_length_c 5.0136
_cell_angle_alpha 89.99
_cell_angle_beta 89.99
_cell_angle_gamma 45.05
loop_
_symmetry_equiv_pos_as_xyz
'x,y,z'
loop_
_atom_site_label
_atom_site_type_symbol
_atom_site_fract_x
_atom_site_fract_y
_atom_site_fract_z
_atom_site_occupancy
Tb1 Tb 0.4991 0.3326 0.4999 1
Tb2 Tb 0.5009 0.6675 0.5001 1
Tb3 Tb 0.1683 0.3326 0.5001 1
Tb4 Tb 0.0007 0.6649 0.9999 1
Tb5 Tb 0.6656 0.3351 0.9999 1
Tb6 Tb 0.9993 0.3351 0.0001 1
Tb7 Tb 0.8317 0.6675 0.4999 1
Tb8 Tb 0.3347 0.0000 0.0002 1
Tb9 Tb 0.3344 0.6649 0.0001 1
Tb10 Tb 0.8323 0.0000 0.4998 1
Tb11 Tb 0.6653 0.0000 0.9998 1
Tb12 Tb 0.1677 0.0000 0.5002 1
Tm1 Tm 0.1681 0.6637 0.5000 1
Tm2 Tm 0.8319 0.3363 0.5000 1
Tm3 Tm 0.5000 0.0000 0.5000 1
Tm4 Tm 0.6665 0.6669 0.0000 1
Tm5 Tm 0.3335 0.3331 0.0000 1
Nd1 Nd 0.0000 0.0000 0.0000 1

***

# Tb12NdTm3 | Alexandria | PBE | optimized geometry
# Formation energy = 19 meV per atom
# VASP energy = -73.44 eV per cell
# Spin magnetization = 0.0 μB/cell
# SG = No. 123
data_Tb12NdTm3
_symmetry_space_group_name_H-M 'P 1'
_symmetry_Int_Tables_number 1
_cell_length_a 5.0262
_cell_length_b 5.0262
_cell_length_c 20.0992
_cell_angle_alpha 90.00
_cell_angle_beta 90.00
_cell_angle_gamma 90.00
loop_
_symmetry_equiv_pos_as_xyz
'x,y,z'
loop_
_atom_site_label
_atom_site_type_symbol
_atom_site_fract_x
_atom_site_fract_y
_atom_site_fract_z
_atom_site_occupancy
Tb1 Tb 0.5000 0.5000 0.2521 1
Tb2 Tb 0.0000 0.5000 0.8727 1
Tb3 Tb 0.5000 0.0000 0.1273 1
Tb4 Tb 0.0000 0.5000 0.3758 1
Tb5 Tb 0.5000 0.0000 0.3758 1
Tb6 Tb 0.5000 0.5000 0.7479 1
Tb7 Tb 0.0000 0.5000 0.6242 1
Tb8 Tb 0.5000 0.0000 0.8727 1
Tb9 Tb 0.5000 0.0000 0.6242 1
Tb10 Tb 0.0000 0.5000 0.1273 1
Tb11 Tb 0.5000 0.5000 0.0000 1
Tb12 Tb 0.5000 0.5000 0.5000 1
Nd1 Nd 0.0000 0.0000 0.0000 1
Tm1 Tm 0.0000 0.0000 0.5000 1
Tm2 Tm 0.0000 0.0000 0.7485 1
Tm3 Tm 0.0000 0.0000 0.2515 1